Here is a geometry-optimized ZnCuAgAs structure from OQMD via LeMat-Bulk. Energies are from PBE-GGA.

extended XYZ file:
```
4
Lattice="0.000 3.191 3.191 3.191 0.000 3.191 3.191 3.191 0.000" Properties=species:S:1:pos:R:3 pbc="T T T"
Ag 3.191 3.191 3.191
As 0.000 0.000 0.000
Cu 4.786 4.786 4.786
Zn 1.595 1.595 1.595
```

Here is a geometry-optimized DyAgAs structure from OQMD via LeMat-Bulk. Energies are from PBE-GGA.

extended XYZ file:
```
3
Lattice="0.000 3.355 3.355 3.355 0.000 3.355 3.355 3.355 0.000" Properties=species:S:1:pos:R:3 pbc="T T T"
Ag 1.677 1.677 1.677
As 5.032 5.032 5.032
Dy 0.000 0.000 0.000
```

Here is a geometry-optimized DyAgAs structure from OQMD via LeMat-Bulk. Energies are from PBE-GGA.

extended XYZ file:
```
3
Lattice="0.000 3.273 3.273 3.273 0.000 3.273 3.273 3.273 0.000" Properties=species:S:1:pos:R:3 pbc="T T T"
Ag 0.000 0.000 0.000
As 1.637 1.637 1.637
Dy 4.910 4.910 4.910
```

Here is a geometry-optimized NdDyAg2As4 structure from OQMD via LeMat-Bulk. Energies are from PBE-GGA.

extended XYZ file:
```
8
Lattice="4.032 0.000 0.000 0.000 4.032 0.000 0.000 0.000 10.422" Properties=species:S:1:pos:R:3 pbc="T T T"
Ag 2.016 0.000 10.383
Ag 0.000 2.016 10.383
As 0.000 0.000 1.874
As 2.016 0.000 5.280
As 0.000 2.016 5.280
As 2.016 2.016 8.459
Dy 0.000 0.000 7.589
Nd 2.016 2.016 2.863
```

Here is a geometry-optimized PrDyAg2As4 structure from OQMD via LeMat-Bulk. Energies are from PBE-GGA.

extended XYZ file:
```
8
Lattice="4.039 0.000 0.000 0.000 4.039 0.000 0.000 0.000 10.462" Properties=species:S:1:pos:R:3 pbc="T T T"
Ag 2.019 0.000 10.411
Ag 0.000 2.019 10.411
As 0.000 0.000 1.866
As 2.019 0.000 5.318
As 0.000 2.019 5.318
As 2.019 2.019 8.484
Dy 0.000 0.000 7.627
Pr 2.019 2.019 2.871
```

Here is a geometry-optimized DyYAg2As4 structure from OQMD via LeMat-Bulk. Energies are from PBE-GGA.

extended XYZ file:
```
8
Lattice="-1.437 3.599 -0.968 -3.191 -1.724 -1.672 -4.966 0.444 9.021" Properties=species:S:1:pos:R:3 pbc="T T T"
Ag -5.682 2.243 8.532
Ag -6.560 -0.418 8.180
As -3.251 1.021 0.381
As -3.205 2.022 4.033
As -4.082 -0.640 3.681
As -4.025 0.360 7.311
Dy -5.919 1.260 5.227
Y -1.364 0.122 2.478
```

Here is a geometry-optimized Er2ZnAgAs2O2 structure from OQMD via LeMat-Bulk. Energies are from PBE-GGA.

extended XYZ file:
```
8
Lattice="-3.681 -1.267 0.282 0.561 -0.788 3.782 -2.739 8.437 2.163" Properties=species:S:1:pos:R:3 pbc="T T T"
Ag 0.000 0.000 0.000
As -0.253 1.248 2.312
As -4.047 6.161 1.883
Er -2.889 2.594 0.969
Er -1.411 4.815 3.227
O -1.370 4.218 1.082
O -2.930 3.191 3.114
Zn -1.560 -1.028 2.032
```

Here is a geometry-optimized AgAsF6 structure from OQMD via LeMat-Bulk. Energies are from PBE-GGA.

extended XYZ file:
```
8
Lattice="-4.747 0.694 -1.069 -2.939 -3.871 -0.738 -3.586 -1.131 3.907" Properties=species:S:1:pos:R:3 pbc="T T T"
Ag -5.636 -2.154 1.050
As 0.000 0.000 0.000
F -3.406 -2.465 0.218
F -6.052 -0.243 -0.344
F -6.592 -3.695 -0.528
F -4.681 -0.613 2.627
F -5.221 -4.065 2.444
F -7.867 -1.843 1.881
```

Here is a geometry-optimized Ag6AsF12 structure from OQMD via LeMat-Bulk. Energies are from PBE-GGA.

extended XYZ file:
```
19
Lattice="-1.618 6.422 -0.204 -1.236 -1.115 6.414 6.583 0.662 0.374" Properties=species:S:1:pos:R:3 pbc="T T T"
Ag -0.280 1.469 3.823
Ag 0.939 3.883 0.944
Ag 0.426 4.979 4.355
Ag 3.302 0.990 2.229
Ag 2.789 2.086 5.640
Ag 4.008 4.500 2.761
As 0.000 0.000 0.000
F -0.394 -0.010 1.743
F -0.145 1.781 -0.022
F -0.418 3.544 2.603
F 1.737 0.147 0.394
F 0.607 3.080 5.391
F 1.721 0.650 4.015
F 2.007 5.320 2.568
F 3.121 2.889 1.192
F 1.991 5.822 6.190
F 4.147 2.426 3.980
F 3.874 4.188 6.605
F 4.122 5.980 4.840
```

Here is a geometry-optimized AgAsF7 structure from OQMD via LeMat-Bulk. Energies are from PBE-GGA.

extended XYZ file:
```
36
Lattice="7.250 0.000 0.000 0.000 6.765 0.000 0.000 0.000 9.405" Properties=species:S:1:pos:R:3 pbc="T T T"
Ag 1.034 1.691 2.261
Ag 4.659 1.691 2.442
Ag 2.590 5.074 6.963
Ag 6.215 5.074 7.144
As 1.428 5.074 0.630
As 5.053 5.074 4.072
As 2.197 1.691 5.333
As 5.822 1.691 8.775
F 0.225 1.691 0.007
F 5.415 0.414 0.532
F 5.415 2.968 0.532
F 3.044 5.074 1.226
F 2.889 1.691 1.464
F 0.909 3.870 1.819
F 0.909 6.277 1.819
F 4.534 3.870 2.884
F 4.534 6.277 2.884
F 6.514 1.691 3.239
F 6.669 5.074 3.476
F 1.790 0.414 4.171
F 1.790 2.968 4.171
F 3.850 1.691 4.695
F 3.399 5.074 4.710
F 5.459 3.797 5.234
F 5.459 6.350 5.234
F 0.581 1.691 5.929
F 0.736 5.074 6.166
F 2.716 0.488 6.521
F 2.716 2.894 6.521
F 6.340 0.488 7.586
F 6.340 2.894 7.586
F 4.361 5.074 7.941
F 4.206 1.691 8.179
F 1.835 3.797 8.873
F 1.835 6.350 8.873
F 7.024 5.074 9.398
```

Here is a geometry-optimized Na3Ag3As2F12 structure from OQMD via LeMat-Bulk. Energies are from PBE-GGA.

extended XYZ file:
```
80
Lattice="-6.462 6.462 6.462 6.462 -6.462 6.462 6.462 6.462 -6.462" Properties=species:S:1:pos:R:3 pbc="T T T"
Ag -3.231 4.846 6.462
Ag 1.615 0.000 9.693
Ag 0.000 3.231 4.846
Ag 6.462 -3.231 4.846
Ag 4.846 0.000 3.231
Ag 3.231 1.615 6.462
Ag 3.231 4.846 0.000
Ag 1.615 6.462 3.231
Ag 0.000 9.693 1.615
Ag 6.462 3.231 1.615
Ag 4.846 6.462 -3.231
Ag 9.693 1.615 0.000
As 0.000 0.000 0.000
As -3.231 3.231 3.231
As 3.231 -3.231 3.231
As 0.000 0.000 6.462
As 3.231 3.231 -3.231
As 0.000 6.462 0.000
As 6.462 0.000 0.000
As 3.231 3.231 3.231
F -0.326 1.009 1.740
F 4.239 -3.557 7.953
F -1.009 1.740 6.135
F -1.491 2.222 10.019
F -2.222 3.557 7.953
F 0.326 1.009 8.202
F 1.740 -0.326 1.009
F 2.904 -1.491 8.684
F 1.740 0.326 5.453
F 3.557 -1.491 4.239
F 1.009 1.740 -0.326
F -1.491 4.239 3.557
F 1.491 2.222 3.557
F 5.453 -1.740 6.135
F -3.557 7.953 4.239
F -1.740 6.135 5.453
F 3.557 1.491 2.222
F 4.722 0.326 7.470
F 6.135 -1.009 1.740
F 2.222 2.904 7.953
F 7.953 -2.222 3.557
F 1.009 4.722 6.135
F 0.326 5.453 1.740
F 2.222 3.557 1.491
F 4.239 2.904 4.971
F 6.135 1.009 4.722
F -1.491 8.684 2.904
F 5.453 1.740 0.326
F 4.239 3.557 -1.491
F 0.326 7.470 4.722
F 1.740 6.135 -1.009
F 2.904 4.971 4.239
F 8.202 0.326 1.009
F 10.019 -1.491 2.222
F 1.009 8.202 0.326
F 4.971 4.239 2.904
F 7.953 2.222 2.904
F 5.453 4.722 6.788
F 2.904 7.953 2.222
F 4.722 6.135 1.009
F 3.557 7.953 -2.222
F 4.722 6.788 5.453
F 6.135 5.453 -1.740
F 8.684 2.904 -1.491
F 7.953 4.239 -3.557
F 7.470 4.722 0.326
F 2.222 10.019 -1.491
F 6.788 5.453 4.722
Na 1.615 0.000 3.231
Na 3.231 -1.615 6.462
Na 0.000 3.231 1.615
Na 0.000 3.231 8.077
Na -1.615 6.462 3.231
Na 3.231 1.615 0.000
Na 3.231 4.846 6.462
Na 8.077 0.000 3.231
Na 6.462 3.231 -1.615
Na 6.462 3.231 4.846
Na 3.231 8.077 0.000
Na 4.846 6.462 3.231
```

Here is a geometry-optimized Rb2AgAsF6 structure from OQMD via LeMat-Bulk. Energies are from PBE-GGA.

extended XYZ file:
```
10
Lattice="0.000 4.319 4.319 4.319 0.000 4.319 4.319 4.319 0.000" Properties=species:S:1:pos:R:3 pbc="T T T"
Ag 4.319 4.319 4.319
As 0.000 0.000 0.000
F 2.022 4.319 4.319
F 4.319 2.022 4.319
F 4.319 4.319 6.617
F 4.319 4.319 2.022
F 4.319 6.617 4.319
F 6.617 4.319 4.319
Rb 2.160 2.160 2.160
Rb 6.479 6.479 6.479
```

no.,raw total energy (eV/atom)
1,-2.938
2,-4.475
3,-4.452
4,-4.964
5,-4.963
6,-5.169
7,-5.791
8,-4.154
9,-3.678
10,-3.996
11,-4.032
12,-4.194